Crystalline K2H2SI2 at its relaxed geometry, computed with PBE.

Properties
As for the space group: No. 2. Its volume is 31.10 A^3/atom. The uncorrected energy comes out at -20.9 eV per formula unit.

abc: 4.639 7.051 7.054
angles: 78.47 78.00 77.87
Sites, in units of the cell vectors:
K (0.000, 0.246, 0.251)
K (0.000, 0.754, 0.749)
H (0.484, 0.863, 0.364)
H (0.516, 0.137, 0.636)
S (0.500, 0.000, 0.500)
I (0.418, 0.685, 0.186)
I (0.582, 0.315, 0.814)

Crystalline K2HSI at its relaxed geometry, computed with PBE.

Properties
As for the space group: No. 11. Its volume is 32.97 A^3/atom. The uncorrected energy comes out at -16.5 eV per formula unit.

abc: 7.017 4.958 9.563
angles: 90.00 97.67 90.00
Sites, in units of the cell vectors:
K (0.217, 0.250, 0.355)
K (0.258, 0.250, 0.903)
K (0.742, 0.750, 0.097)
K (0.783, 0.750, 0.645)
H (0.372, 0.750, 0.232)
H (0.628, 0.250, 0.768)
S (0.231, 0.750, 0.121)
S (0.769, 0.250, 0.879)
I (0.277, 0.750, 0.632)
I (0.723, 0.250, 0.368)

Crystalline KSb2HI at its relaxed geometry, computed with PBE.

Properties
The value obtained for the energy relative to the lowest polymorph listed for this composition is 1.094 eV/atom. As for the space group: No. 123. Its volume is 80.45 A^3/atom. The uncorrected energy comes out at -8.9 eV per formula unit.

abc: 7.862 7.862 6.507
angles: 90.00 90.00 90.00
Sites, in units of the cell vectors:
K (0.000, 0.000, 0.000)
Sb (0.000, 0.500, 0.000)
Sb (0.500, 0.000, 0.000)
H (0.500, 0.500, 0.500)
I (0.000, 0.000, 0.500)